# 1
CsPm2Cu3S5 | PBE | relaxed

**Crystal system**: orthorhombic

Cell and atoms, written as POSCAR:
```
CsPm2Cu3S5
1.0
2.015 -7.085 0.000
2.015 7.085 0.000
0.000 0.000 17.263
Cs Pm Cu S
2 4 6 10
Cartesian
2.015 6.196 12.947 Cs
2.015 -6.196 4.316 Cs
2.015 4.372 1.565 Pm
2.015 4.372 7.066 Pm
2.015 -4.372 10.197 Pm
2.015 -4.372 15.698 Pm
2.015 2.303 12.947 Cu
2.015 1.202 0.593 Cu
2.015 1.202 8.039 Cu
2.015 -1.202 9.225 Cu
2.015 -1.202 16.670 Cu
2.015 -2.303 4.316 Cu
2.015 4.740 9.818 S
2.015 4.740 16.077 S
2.015 3.838 4.316 S
2.015 0.827 10.464 S
2.015 0.827 15.431 S
2.015 -0.827 1.832 S
2.015 -0.827 6.799 S
2.015 -3.838 12.947 S
2.015 -4.740 1.187 S
2.015 -4.740 7.445 S
```

=====

# 2
CsTe2OsAuS | PBE | relaxed

**Crystal system**: orthorhombic

Cell and atoms, written as POSCAR:
```
CsTe2OsAuS
1.0
2.042 -8.706 0.000
2.042 8.706 0.000
0.000 0.000 10.060
Cs Te Os Au S
2 4 2 2 2
Cartesian
2.042 4.628 7.545 Cs
2.042 -4.628 2.515 Cs
2.042 1.786 0.048 Te
2.042 1.786 4.981 Te
2.042 -1.786 5.078 Te
2.042 -1.786 10.011 Te
0.000 0.000 0.000 Os
0.000 0.000 5.030 Os
2.042 0.835 2.515 Au
2.042 -0.835 7.545 Au
2.042 7.922 2.515 S
2.042 -7.922 7.545 S
```

=====

E_tot, record by record: -111.18, -51.32 eV/cell